No. 1
Li2Ag6Pd3: optimized geometry, GGA-PBE.

Cell lengths 3.941, 3.941, 24.255 Å; angles 90.00, 90.00, 90.00 degrees
Space group I4/mmm (No. 139)
Inequivalent atoms, fractional coordinates:
Li  0.000  0.000  0.042 (multiplicity 4)
Ag  0.000  0.000  0.200 (multiplicity 4)
Ag  0.000  0.500  0.106 (multiplicity 8)
Pd  0.000  0.000  0.312 (multiplicity 4)
Pd  0.000  0.000  0.500 (multiplicity 2)

Summary:
ρ = 8642 kg/m³
Formation enthalpy at 0 K = 0.08 eV/atom

=====

No. 2
KAgMo: optimized geometry, GGA-PBE.

Cell lengths 3.418, 4.394, 16.881 Å; angles 90.00, 90.00, 90.00 degrees
Space group Fmm2 (No. 42)
Inequivalent atoms, fractional coordinates:
K  0.000  0.000  0.000 (multiplicity 4)
Ag  0.000  0.000  0.321 (multiplicity 4)
Mo  0.000  0.000  0.683 (multiplicity 4)

Summary:
ρ = 6363 kg/m³
Formation enthalpy at 0 K = 0.96 eV/atom

=====

No. 3
HgTeMo4: optimized geometry, GGA-PBE.

Cell lengths 7.632, 7.632, 7.632 Å; angles 90.00, 90.00, 90.00 degrees
Space group F-43m (No. 216)
Inequivalent atoms, fractional coordinates:
Hg  0.000  0.000  0.000 (multiplicity 4)
Te  0.250  0.250  0.250 (multiplicity 4)
Mo  0.127  0.127  0.627 (multiplicity 16)

Summary:
ρ = 10636 kg/m³
Formation energy (no corrections) = 14.57 kcal/mol of atoms

=====

No. 4
LiIn3Pd4: optimized geometry, GGA-PBE.

Cell lengths 4.584, 4.584, 12.976 Å; angles 90.00, 90.00, 90.00 degrees
Space group I4/mmm (No. 139)
Inequivalent atoms, fractional coordinates:
Li  0.000  0.000  0.000 (multiplicity 2)
In  0.000  0.000  0.245 (multiplicity 4)
In  0.000  0.000  0.500 (multiplicity 2)
Pd  0.000  0.500  0.124 (multiplicity 8)

Summary:
ρ = 9465 kg/m³
Formation enthalpy at 0 K = -0.55 eV/atom

=====

No. 5
ZrAsHRu: optimized geometry, GGA-PBE.

Cell lengths 4.005, 4.005, 6.708 Å; angles 90.00, 90.00, 90.00 degrees
Space group P4/nmm (No. 129, origin choice 2)
Inequivalent atoms, fractional coordinates:
Zr  0.250  0.250  0.154 (multiplicity 2)
As  0.250  0.250  0.711 (multiplicity 2)
H  0.250  0.750  0.000 (multiplicity 2)
Ru  0.250  0.750  0.500 (multiplicity 2)

Summary:
ρ = 8279 kg/m³

=====

No. 6
Li3Ce3US8: optimized geometry, GGA-PBE.

Cell lengths 8.1278, 8.1278, 18.3502 Å; angles 90.00, 90.00, 120.00 degrees
Space group R-3m (No. 166, hexagonal axes)
Inequivalent atoms, fractional coordinates:
Li  0.0000  0.5000  0.0000 (multiplicity 9)
Ce  0.0000  0.5000  0.5000 (multiplicity 9)
U  0.0000  0.0000  0.5000 (multiplicity 3)
S  0.0000  0.0000  0.2519 (multiplicity 6)
S  0.0142  0.5071  0.2484 (multiplicity 18)

Summary:
ρ = 4440 kg/m³
Formation energy (no corrections) = -38.16 kcal/mol of atoms

=====

The records above give, respectively, DFT total energy values of -3.24, -3.96, -7.16, -4.41, -7.02, -6.18 eV/atom.
The records above give, respectively, density of states at the Fermi level values of 0.256, 1.039, 0.692, 0.369, 0.443, 1.605 states/eV/atom.